The following is a PBE calculation of crystalline Si2OsW at its relaxed geometry, from Alexandria via LeMat-Bulk.

a = 8.0676 Å, b = 8.0676 Å, c = 8.0676 Å
α = 20.77°, β = 20.77°, γ = 20.77°
Closest atoms and distances in Å follow each position.
Atoms (fractional coordinates):
Si 0.0000 0.0000 0.0000  3 Os 2.49, 3 Si 2.54
Si 0.2529 0.2529 0.2529  3 Si 2.54, 3 W 2.63
Os 0.7440 0.7440 0.7440  3 Si 2.49, 3 W 2.71
W 0.5007 0.5007 0.5007  3 Si 2.63, 3 Os 2.71, 6 W 2.91

## Properties
- Total energy: -34.9 eV/f.u.
- SG: No. 160
- Energy relative to the elements, uncorrected: 24 meV/atom